Below is an optimized crystal structure of AlCoSiOs, with properties calculated at the PBE level.

The structure in CIF format:
```
data_AlCoSiOs
_chemical_formula_sum 'Al1 Co1 Si1 Os1'
_symmetry_space_group_name_H-M 'P m m m'
_symmetry_Int_Tables_number 47
_symmetry_space_group_name_Hall '-P 2 2'
_cell_length_a 2.9724
_cell_length_b 4.0391
_cell_length_c 4.0905
_cell_angle_alpha 90.00
_cell_angle_beta 90.00
_cell_angle_gamma 90.00
loop_
_atom_site_label
_atom_site_type_symbol
_atom_site_fract_x
_atom_site_fract_y
_atom_site_fract_z
_atom_site_occupancy
Al1 Al 0.0000 0.0000 0.0000 1
Co1 Co 0.5000 0.5000 0.0000 1
Si1 Si 0.0000 0.5000 0.5000 1
Os1 Os 0.5000 0.0000 0.5000 1
```

Properties
ΔE_f (raw)	-0.465	eV/atom
final energy	-29.36	eV for the cell shown